DFT (PBE with a Hubbard U) results for PaCo3Pb2O12 after structural relaxation.

## Properties
Its theoretical density is 7.9 g cm⁻³. For the uncorrected energy, the calculation gives -6.25 eV/atom. As for the density of states at the Fermi level: 0.12 states/eV per atom.

a = 6.4192 Å, b = 6.4192 Å, c = 6.4192 Å
α = 66.52°, β = 66.52°, γ = 66.52°
With the nearest neighbours (Å) after each atom.
Fractional coordinates of all 18 atoms:
Pb (0.3860, 0.3860, 0.3860)  3 O 2.31
Pb (0.6140, 0.6140, 0.6140)  3 O 2.31
O (0.2577, 0.8829, 0.2577)  2 Co 1.90
O (0.7423, 0.7423, 0.1171)  2 Co 1.90
O (0.1419, 0.5707, 0.1419)  1 Co 1.78
O (0.8829, 0.2577, 0.2577)  2 Co 1.90
O (0.8581, 0.8581, 0.4293)  1 Co 1.78
O (0.1419, 0.1419, 0.5707)  1 Co 1.78
O (0.4293, 0.8581, 0.8581)  1 Co 1.78
O (0.2577, 0.2577, 0.8829)  2 Co 1.90
O (0.8581, 0.4293, 0.8581)  1 Co 1.78
O (0.7423, 0.1171, 0.7423)  2 Co 1.90
O (0.5707, 0.1419, 0.1419)  1 Co 1.78
O (0.1171, 0.7423, 0.7423)  2 Co 1.90
Co (0.0000, 0.5000, 0.0000)  6 O 1.78-1.90
Co (0.5000, 0.0000, 0.0000)  6 O 1.78-1.90
Co (0.0000, 0.0000, 0.5000)  6 O 1.78-1.90
Pa (0.0000, 0.0000, 0.0000)  12 O 2.43-2.50